Entry 1:
First-principles (PBE) data for TbThSi2 after structural relaxation, as listed in Alexandria.

Lattice parameters (Å, degrees): 4.5962 4.5962 16.2942 90.00 90.00 120.00
Space group R-3m (No. 166, hexagonal axes)
Unique sites:
Tb (0.0000, 0.0000, 0.0000) (multiplicity 3)
Th (0.0000, 0.0000, 0.5000) (multiplicity 3)
Si (0.0000, 0.0000, 0.2565) (multiplicity 6)

Computed properties:
The raw formation energy comes out at -0.5190 eV/atom. The value obtained for the total magnetization is 0.00 Bohr magnetons per cell. Its volume is 298 Å³/cell. The calculation puts the energy relative to the lowest polymorph listed for this composition at 4.90 kcal/mol of atoms.

Entry 2:
First-principles (PBE) data for Tb3Th3Si4 after structural relaxation, as listed in Alexandria.

Lattice parameters (Å, degrees): 4.0470 11.0093 11.0188 90.00 90.00 90.00
Space group Amm2 (No. 38)
Unique sites:
Tb (0.0000, 0.0000, 0.0000) (multiplicity 2)
Tb (0.0000, 0.1753, 0.6788) (multiplicity 4)
Th (0.0000, 0.0000, 0.3578) (multiplicity 2)
Th (0.5000, 0.2477, 0.4270) (multiplicity 4)
Si (0.5000, 0.0000, 0.5679) (multiplicity 2)
Si (0.5000, 0.0000, 0.7939) (multiplicity 2)
Si (0.5000, 0.1159, 0.1741) (multiplicity 4)

Computed properties:
The raw formation energy comes out at -0.6311 eV/atom. The value obtained for the total magnetization is 0.00 Bohr magnetons per cell. Its volume is 491 Å³/cell.

Entry 3:
First-principles (PBE) data for TbTh2Si after structural relaxation, as listed in Alexandria.

Lattice parameters (Å, degrees): 3.8124 3.8124 31.3113 90.00 90.00 120.00
Space group R-3m (No. 166, hexagonal axes)
Unique sites:
Tb (0.0000, 0.0000, 0.0000) (multiplicity 3)
Th (0.0000, 0.0000, 0.1087) (multiplicity 6)
Si (0.0000, 0.0000, 0.5000) (multiplicity 3)

Computed properties:
The raw formation energy comes out at 0.1115 eV/atom. The value obtained for the total magnetization is 0.22 Bohr magnetons per cell. Its volume is 394 Å³/cell.

- What is the formula in the third record?
  TbTh2Si

- The highest raw formation energy belongs to which entry?
  TbTh2Si

What did the first record say?
First-principles (PBE) data for TbThSi2 after structural relaxation, as listed in Alexandria.

Lattice parameters (Å, degrees): 4.5962 4.5962 16.2942 90.00 90.00 120.00
Space group R-3m (No. 166, hexagonal axes)
Unique sites:
Tb (0.0000, 0.0000, 0.0000) (multiplicity 3)
Th (0.0000, 0.0000, 0.5000) (multiplicity 3)
Si (0.0000, 0.0000, 0.2565) (multiplicity 6)

Computed properties:
The raw formation energy comes out at -0.5190 eV/atom. The value obtained for the total magnetization is 0.00 Bohr magnetons per cell. Its volume is 298 Å³/cell. The calculation puts the energy relative to the lowest polymorph listed for this composition at 4.90 kcal/mol of atoms.

- What is the total magnetization in the second record?
  0.00 Bohr magnetons per cell